Density functional theory data (PBE+U) for a geometry-optimized Cr2CdF structure.

CIF file:
```
data_Cr2CdF
_chemical_formula_sum 'Cr8 Cd4 F4'
_cell_length_a 6.607
_cell_length_b 6.607
_cell_length_c 6.766
_cell_angle_alpha 90.00
_cell_angle_beta 90.00
_cell_angle_gamma 90.00
_symmetry_space_group_name_H-M 'I -4 2 d'
_symmetry_Int_Tables_number 122
_symmetry_space_group_name_Hall 'I -4 2bw'
loop_
_atom_site_label
_atom_site_type_symbol
_atom_site_fract_x
_atom_site_fract_y
_atom_site_fract_z
_atom_site_occupancy
Cr1 Cr 0.176 0.250 0.125 1
Cd1 Cd 0.000 0.000 0.500 1
F1 F 0.000 0.000 0.000 1
```

## Properties
Energy (eV/atom): -4.77
Crystal system: tetragonal